# Pm5Cd2In2 | Alexandria via LeMat-Bulk | PBE | optimized geometry
# Final energy, eV per atom: -3.717
# Calculated formation energy, eV per atom: -0.27
data_Pm5Cd2In2
_chemical_formula_sum 'Pm20 Cd8 In8'
_symmetry_space_group_name_H-M 'C m c e'
_symmetry_Int_Tables_number 64
_symmetry_space_group_name_Hall '-C 2ac 2'
_cell_length_a 16.898
_cell_length_b 8.791
_cell_length_c 7.491
_cell_angle_alpha 90.00
_cell_angle_beta 90.00
_cell_angle_gamma 90.00
loop_
_atom_site_label
_atom_site_type_symbol
_atom_site_fract_x
_atom_site_fract_y
_atom_site_fract_z
Pm1 Pm 0.000 0.000 0.000
Pm2 Pm 0.143 0.190 0.334
Cd1 Cd 0.000 0.134 0.612
In1 In 0.211 0.000 0.000